# 1
First-principles (meta-GGA SCAN) data for a PBEsol-optimized structure of ZrAsPd3, as listed in Alexandria.

Calculated values
M_tot (μB per atom): 0.00
Energy (eV for the cell shown): -149.722
Calculated volume (Å³/atom): 18.95
Energy of formation (eV per atom): -0.102

Cell lengths 4.5593, 4.5593, 4.5593 Å; angles 90.00, 90.00, 90.00 degrees
Sites, in units of the cell vectors:
1 As 0.0000 0.0000 0.0000
2 Zr 0.5000 0.5000 0.5000
3 Pd 0.0000 0.0000 0.5000
4 Pd 0.5000 0.0000 0.0000
5 Pd 0.0000 0.5000 0.0000

=====

# 2
First-principles (meta-GGA SCAN) data for a PBEsol-optimized structure of PrAs2, as listed in Alexandria.

Calculated values
M_tot (μB per atom): 0.00
Energy (eV for the cell shown): -348.441
Calculated volume (Å³/atom): 23.53
Energy of formation (eV per atom): -1.134

Cell lengths 4.1034, 6.8236, 10.1409 Å; angles 90.00, 95.94, 90.00 degrees
Sites, in units of the cell vectors:
1 Pr 0.7715 0.6842 0.8608
2 Pr 0.2285 0.3158 0.1392
3 As 0.6813 0.1223 0.9498
4 As 0.3187 0.8777 0.0502
5 As 0.7128 0.6473 0.1719
6 As 0.8187 0.6223 0.5502
7 As 0.1813 0.3777 0.4498
8 As 0.2872 0.3527 0.8281
9 Pr 0.7285 0.1842 0.6392
10 Pr 0.2715 0.8158 0.3608
11 As 0.7872 0.1473 0.3281
12 As 0.2128 0.8527 0.6719

=====

# 3
First-principles (meta-GGA SCAN) data for a PBEsol-optimized structure of PrAs2Rh2, as listed in Alexandria.

Calculated values
M_tot (μB per atom): 0.00
Energy (eV for the cell shown): -313.476
Calculated volume (Å³/atom): 17.87
Energy of formation (eV per atom): -1.098

Cell lengths 4.2485, 4.2485, 9.8988 Å; angles 90.00, 90.00, 90.00 degrees
Sites, in units of the cell vectors:
1 Rh 0.5000 0.5000 0.0000
2 Pr 0.5000 0.0000 0.7455
3 Rh 0.5000 0.0000 0.3801
4 As 0.0000 0.0000 0.5000
5 As 0.5000 0.5000 0.5000
6 Rh 0.0000 0.5000 0.6199
7 Rh 0.0000 0.0000 0.0000
8 As 0.5000 0.0000 0.1360
9 Pr 0.0000 0.5000 0.2545
10 As 0.0000 0.5000 0.8640

=====

# 4
First-principles (meta-GGA SCAN) data for a PBEsol-optimized structure of PrAsS, as listed in Alexandria.

Calculated values
M_tot (μB per atom): 0.00
Energy (eV for the cell shown): -313.066
Calculated volume (Å³/atom): 22.43
Uncorrected formation energy (eV/atom): -1.707

Cell lengths 3.8546, 7.1996, 9.7004 Å; angles 90.00, 90.00, 90.00 degrees
Sites, in units of the cell vectors:
1 S 0.7500 0.9011 0.6598
2 Pr 0.7500 0.3016 0.1565
3 S 0.7500 0.4011 0.8402
4 Pr 0.7500 0.8016 0.3435
5 Pr 0.2500 0.6984 0.8435
6 Pr 0.2500 0.1984 0.6565
7 As 0.7500 0.4018 0.4587
8 S 0.2500 0.5989 0.1598
9 As 0.2500 0.5982 0.5413
10 S 0.2500 0.0989 0.3402
11 As 0.7500 0.9018 0.0413
12 As 0.2500 0.0982 0.9587